Entry 1:
This record from the Alexandria database describes an optimized crystal structure of Ho5Te3. The functional is GGA-PBE.

The calculation puts the size of the total moment at 0.000 Bohr magnetons per cell. As for the uncorrected formation energy: -897 meV per atom.

The space group is P6_3/mcm (No. 193) and the conventional cell measures 8.9961, 8.9961 and 6.0988 Å, with angles of 90.00, 90.00 and 120.00 degrees. The inequivalent atoms are Ho at (0.0000, 0.2550, 0.2500), Ho at (0.3333, 0.6667, 0.0000) and Te at (0.0000, 0.3846, 0.7500).


Entry 2:
This record from the Alexandria database describes an optimized crystal structure of HoTe2. The functional is GGA-PBE.

The calculation puts the size of the total moment at 0.000 Bohr magnetons per cell. As for the uncorrected formation energy: -1111 meV per atom.

The space group is Pbcm (No. 57) and the conventional cell measures 7.6440, 8.1383 and 6.0199 Å, with angles of 90.00, 90.00 and 90.00 degrees. The inequivalent atoms are Ho at (0.2461, 0.0613, 0.2500), Te at (0.0743, 0.7500, 0.0000) and Te at (0.3924, 0.0945, 0.7500).


Entry 3:
This record from the Alexandria database describes an optimized crystal structure of Ho2Te. The functional is GGA-PBE.

The calculation puts the size of the total moment at 0.000 Bohr magnetons per cell. As for the uncorrected formation energy: -768 meV per atom.

The space group is I4/mmm (No. 139) and the conventional cell measures 3.8440, 3.8440 and 11.5204 Å, with angles of 90.00, 90.00 and 90.00 degrees. The inequivalent atoms are Ho at (0.0000, 0.0000, 0.1564) and Te at (0.0000, 0.0000, 0.5000).